VASP calculation (GGA-PBE) on a geometry-optimized Ce6In5Ga structure.

Results
* uncorrected energy: -4.736 eV per atom

Cell and atoms, written as POSCAR:
```
Ce6In5Ga
1.0
4.477 -0.020 1.527
0.038 9.397 0.013
0.039 -0.010 7.519
Ce In Ga
6 5 1
Direct
0.500 0.241 0.000
0.161 0.246 0.677
0.839 0.246 0.323
0.839 0.754 0.323
0.500 0.759 0.000
0.161 0.754 0.677
0.667 0.500 0.664
0.668 0.000 0.664
0.333 0.500 0.336
0.332 0.000 0.336
0.000 0.500 0.000
0.000 0.000 0.000
```

***

VASP calculation (GGA-PBE) on a geometry-optimized SrMoPCl2 structure.

Results
* polymorph energy (0 for the lowest one): 980 meV/atom
* formation energy without anion corrections: 276 meV/atom

Cell and atoms, written as POSCAR:
```
SrMoPCl2
1.0
-2.403 -0.242 4.818
-3.936 -3.014 -2.114
3.172 -5.073 1.326
P Cl Sr Mo
1 2 1 1
Direct
0.000 0.000 0.500
0.000 0.500 0.000
0.500 0.000 0.000
0.000 0.000 0.000
0.500 0.500 0.500
```

***

VASP calculation (GGA-PBE) on a geometry-optimized HoPaZn4 structure.

Results
* polymorph energy (0 for the lowest one): 57 meV/atom

Cell and atoms, written as POSCAR:
```
HoPaZn4
1.0
5.434 0.000 0.000
2.717 4.706 0.000
2.717 1.569 4.437
Zn Ho Pa
4 1 1
Direct
0.625 0.625 0.125
0.625 0.625 0.625
0.625 0.125 0.625
0.125 0.625 0.625
0.000 0.000 0.000
0.250 0.250 0.250
```

***

VASP calculation (GGA-PBE) on a geometry-optimized Fe2CoOs structure.

Results
* uncorrected energy: -8.712 eV per atom

Cell and atoms, written as POSCAR:
```
Fe2CoOs
1.0
4.409 -0.002 0.000
1.468 4.158 0.000
-2.939 -2.078 2.548
Fe Os Co
2 1 1
Direct
0.250 0.750 0.500
0.000 0.000 0.000
0.500 0.500 0.000
0.750 0.250 0.500
```

***

VASP calculation (GGA-PBE) on a geometry-optimized PaC2O6F structure.

Results
* formation energy without anion corrections: -1969 meV/atom

Cell and atoms, written as POSCAR:
```
PaC2O6F
1.0
4.188 -0.102 -0.106
1.251 7.261 0.156
1.251 -0.113 7.262
Pa F C O
2 2 4 12
Direct
0.250 0.191 0.809
0.750 0.809 0.191
0.250 0.906 0.094
0.750 0.094 0.906
0.316 0.758 0.621
0.816 0.621 0.758
0.684 0.242 0.379
0.184 0.379 0.242
0.497 0.612 0.708
0.291 0.920 0.709
0.003 0.292 0.388
0.791 0.709 0.920
0.557 0.226 0.562
0.209 0.291 0.080
0.443 0.774 0.438
0.503 0.388 0.292
0.709 0.080 0.291
0.943 0.438 0.774
0.997 0.708 0.612
0.057 0.562 0.226
```

***

VASP calculation (GGA-PBE) on a geometry-optimized AsSeBrO2 structure.

Results
* formation energy without anion corrections: -175 meV/atom

Cell and atoms, written as POSCAR:
```
AsSeBrO2
1.0
-2.098 -1.122 2.943
4.816 -1.966 2.684
0.474 3.384 1.628
O Br Se As
2 1 1 1
Direct
0.500 0.000 0.000
0.000 0.000 0.500
0.500 0.500 0.500
0.000 0.500 0.000
0.000 0.000 0.000
```

***

VASP calculation (GGA-PBE) on a geometry-optimized Sm2DyGe3Ir4 structure.

Results
* uncorrected energy: -7.122 eV per atom

Cell and atoms, written as POSCAR:
```
Sm2DyGe3Ir4
1.0
-2.206 2.702 -2.306
-2.818 -2.984 -0.800
-5.820 3.047 9.138
Sm Ge Ir Dy
2 3 4 1
Direct
0.000 0.500 0.771
0.500 0.000 0.229
0.500 0.000 0.878
0.000 0.500 0.122
0.000 0.000 0.500
0.500 0.000 0.660
0.000 0.000 0.000
0.500 0.500 0.000
0.000 0.500 0.340
0.500 0.500 0.500
```

***

VASP calculation (GGA-PBE) on a geometry-optimized Pu2TeIr structure.

Results
* polymorph energy (0 for the lowest one): 0 meV/atom
* formation energy without anion corrections: -725 meV/atom

Cell and atoms, written as POSCAR:
```
Pu2TeIr
1.0
4.129 0.000 0.000
2.064 3.576 0.000
2.064 1.192 7.193
Ir Pu Te
1 2 1
Direct
0.000 0.000 0.000
0.736 0.736 0.791
0.264 0.264 0.209
0.500 0.500 0.500
```

***

VASP calculation (GGA-PBE) on a geometry-optimized Zr4Be6Rh7 structure.

Results
* uncorrected energy: -6.884 eV per atom

Cell and atoms, written as POSCAR:
```
Zr4Be6Rh7
1.0
-6.029 -1.847 2.542
4.018 -5.462 -0.500
2.892 4.572 4.119
Be Rh Zr
6 7 4
Direct
0.318 0.318 0.000
0.682 0.000 0.682
0.000 0.682 0.682
0.318 0.000 0.318
0.682 0.682 0.000
0.000 0.318 0.318
0.250 0.750 0.500
0.000 0.000 0.000
0.500 0.250 0.750
0.750 0.250 0.500
0.250 0.500 0.750
0.750 0.500 0.250
0.500 0.750 0.250
0.000 0.500 0.000
0.500 0.500 0.500
0.500 0.000 0.000
0.000 0.000 0.500
```

***

VASP calculation (GGA-PBE) on a geometry-optimized TaTcCl structure.

Results
* polymorph energy (0 for the lowest one): 235 meV/atom
* formation energy without anion corrections: 101 meV/atom

Cell and atoms, written as POSCAR:
```
TaTcCl
1.0
-1.255 4.114 -5.598
-0.736 1.271 -6.613
-2.950 0.822 0.075
Ta Tc Cl
1 1 1
Direct
0.326 0.326 0.674
0.688 0.688 0.312
0.986 0.986 0.014
```

***

VASP calculation (GGA-PBE) on a geometry-optimized Ac2Zn2CuO6 structure.

Results
* formation energy without anion corrections: -1809 meV/atom

Cell and atoms, written as POSCAR:
```
Ac2Zn2CuO6
1.0
-2.976 3.737 -3.502
-1.868 -1.787 -5.329
-6.227 -0.992 -0.776
Zn O Ac Cu
2 6 2 1
Direct
0.420 0.420 0.740
0.580 0.580 0.260
0.241 0.241 0.729
0.211 0.759 0.271
0.241 0.789 0.729
0.759 0.211 0.271
0.759 0.759 0.271
0.789 0.241 0.729
0.210 0.210 0.369
0.790 0.790 0.631
0.000 0.000 0.000
```

***

VASP calculation (GGA-PBE) on a geometry-optimized Ho2TcSn structure.

Results
* polymorph energy (0 for the lowest one): 0 meV/atom

Cell and atoms, written as POSCAR:
```
Ho2TcSn
1.0
-3.045 -0.721 -1.808
-1.589 -1.019 3.082
-2.188 6.597 1.053
Tc Ho Sn
1 2 1
Direct
0.500 0.500 0.000
0.000 0.000 0.777
0.000 0.000 0.223
0.500 0.500 0.500
```

***

Number 1: D(E_F) 29.72 states/eV/cell. Number 2: D(E_F) 3.36 states/eV/cell. Number 3: D(E_F) 6.27 states/eV/cell. Number 4: D(E_F) 4.79 states/eV/cell. Number 5: D(E_F) 0.00 states/eV/cell. Number 6: D(E_F) 1.86 states/eV/cell. Number 7: D(E_F) 5.11 states/eV/cell. Number 8: D(E_F) 12.24 states/eV/cell. Number 9: D(E_F) 14.01 states/eV/cell. Number 10: D(E_F) 1.73 states/eV/cell. Number 11: D(E_F) 2.53 states/eV/cell. Number 12: D(E_F) 2.56 states/eV/cell.